First-principles (PBE) data for Cd2GaHgH after structural relaxation, as listed in the Alexandria database.

a = 5.5037 Å, b = 5.5037 Å, c = 3.4908 Å
α = 90.00°, β = 90.00°, γ = 90.00°
Closest atoms and distances in Å follow each position.
Fractional positions:
Hg1 0.5000 0.5000 0.5000  8 Cd 3.26, 2 Hg 3.49
H1 0.0000 0.0000 0.5000  2 Ga 1.75
Cd1 0.0000 0.5000 0.0000  2 Ga 2.75
Cd2 0.5000 0.0000 0.0000  2 Ga 2.75
Ga1 0.0000 0.0000 0.0000  2 H 1.75

Computed properties:
D(E_F) ... 0.394 states/eV per atom
M_tot ... 0.00 Bohr magnetons per cell
Crystal system ... tetragonal

=====

First-principles (PBE) data for PuUNb after structural relaxation, as listed in the Alexandria database.

a = 4.3655 Å, b = 4.3655 Å, c = 7.6493 Å
α = 73.42°, β = 73.42°, γ = 60.00°
Closest atoms and distances in Å follow each position.
Fractional positions:
Nb1 0.6394 0.6394 0.0817  3 Nb 2.78, 3 U 2.95
Nb2 0.3606 0.3606 0.9183  3 Nb 2.78, 3 U 2.95
U1 0.0981 0.0981 0.7057  4 Pu 2.52-2.56
U2 0.9019 0.9019 0.2943  4 Pu 2.52-2.56
Pu1 0.7854 0.7854 0.6437  4 U 2.52-2.56
Pu2 0.2146 0.2146 0.3563  4 U 2.52-2.56

Computed properties:
Formation energy from the elements ... 0.421 eV per atom
D(E_F) ... 2.348 states/eV per atom
M_tot ... 0.00 Bohr magnetons per cell
Crystal system ... trigonal

=====

no.,V (Å³/atom),final energy (eV/cell)
1,21.148,-7.59
2,19.866,-68.85